1.
5
Lattice="4.8811 0.0000 0.0000 0.0000 4.8811 0.0000 0.0000 0.0000 4.8811" Properties=species:S:1:pos:R:3 comment="PBE Al3SF, relaxed" e_form_raw_ev_per_atom=0.256 pbc="T T T"
F 2.4405 2.4405 2.4405
Al 2.4405 0.0000 0.0000
Al 0.0000 2.4405 0.0000
Al 0.0000 0.0000 2.4405
S 0.0000 0.0000 0.0000

---

2.
5
Lattice="-1.6370 -0.9617 4.4790 4.0049 -2.6096 0.9034 2.2558 4.0483 1.6937" Properties=species:S:1:pos:R:3 comment="PBE CuBTe2I, relaxed" e_form_raw_ev_per_atom=0.981 pbc="T T T"
Te 2.0025 -1.3048 0.4517
Te -0.8185 -0.4808 2.2395
I 1.1279 2.0241 0.8468
B 0.0000 0.0000 0.0000
Cu 2.3119 0.2385 3.5381

---

3.
5
Lattice="-5.7858 -1.7055 0.0540 0.3628 -1.4159 -5.8524 1.6673 -5.6101 1.4606" Properties=species:S:1:pos:R:3 comment="PBE CsCaBi3, relaxed" formation_enthalpy_0k_ev_per_atom=0.00 pbc="T T T"
Bi 0.8337 -2.8051 0.7303
Bi -2.8929 -0.8527 0.0270
Ca 0.0000 0.0000 0.0000
Cs -1.8778 -4.3657 -2.1689
Bi 0.1814 -0.7079 -2.9262

---

Number 1: E above lowest polymorph 0.339 eV per atom, V 116 Å³/f.u.. Number 2: E above lowest polymorph 0.000 eV per atom, V 117 Å³/f.u.. Number 3: E above lowest polymorph 0.000 eV per atom, V 219 Å³/f.u..